BeCd2Ru | GGA-PBE | relaxed

## Properties
calculated formation energy = 0.064 eV per atom
calculated total energy = -3.64 eV/atom

Geometry as CIF:
```
data_BeCd2Ru
_space_group_name_H-M_alt 'P 4 m m'
_space_group_IT_number 99
_space_group_name_Hall 'P 4 -2'
_cell_length_a 3.0575
_cell_length_b 3.0575
_cell_length_c 6.9691
_cell_angle_alpha 90.00
_cell_angle_beta 90.00
_cell_angle_gamma 90.00
loop_
_atom_site_label
_atom_site_type_symbol
_atom_site_fract_x
_atom_site_fract_y
_atom_site_fract_z
_atom_site_occupancy
Be1 Be 0.0000 0.0000 0.0000 1
Cd1 Cd 0.0000 0.0000 0.6131 1
Cd2 Cd 0.5000 0.5000 0.2865 1
Ru1 Ru 0.5000 0.5000 0.8887 1
```